## NpAg4Au (GGA-PBE)

Data for a relaxed NpAg4Au crystal.

space group = F-43m
calculated formation energy = 0.8 eV per formula unit

Cell: 5.5469 5.5469 5.5469 Å, 60.00 60.00 60.00°
Element x y z (fractional)
Np (0.0000, 0.0000, 0.0000)
Ag (0.3755, 0.3755, 0.3755)
Ag (0.3755, 0.3755, 0.8736)
Ag (0.3755, 0.8736, 0.3755)
Ag (0.8736, 0.3755, 0.3755)
Au (0.7500, 0.7500, 0.7500)

=====

## NpAg2AuO6 (GGA-PBE)

Data for a relaxed NpAg2AuO6 crystal.

space group = C2/m
ΔE_f (raw) = -1155 meV/atom

Cell: 6.2467 6.2467 5.0547 Å, 110.46 110.46 54.80°
Element x y z (fractional)
Np (0.0000, 0.0000, 0.0000)
Ag (0.2682, 0.2682, 0.8011)
Ag (0.7318, 0.7318, 0.1989)
Au (0.5000, 0.5000, 0.5000)
O (0.1596, 0.1596, 0.3204)
O (0.1831, 0.6547, 0.1825)
O (0.3453, 0.8169, 0.8175)
O (0.6547, 0.1831, 0.1825)
O (0.8169, 0.3453, 0.8175)
O (0.8404, 0.8404, 0.6796)

=====

## PuNpAgAu (GGA-PBE)

Data for a relaxed PuNpAgAu crystal.

space group = F-43m
calculated formation energy = 0.0 eV per formula unit

Cell: 4.9232 4.9232 4.9232 Å, 60.00 60.00 60.00°
Element x y z (fractional)
Pu (0.0000, 0.0000, 0.0000)
Np (0.2500, 0.2500, 0.2500)
Ag (0.7500, 0.7500, 0.7500)
Au (0.5000, 0.5000, 0.5000)

=====

## Np3Ag3AuS8 (GGA-PBE)

Data for a relaxed Np3Ag3AuS8 crystal.

space group = C2/m
ΔE_f (raw) = -678 meV/atom

Cell: 7.5728 7.5728 7.7337 Å, 118.48 118.48 66.85°
Element x y z (fractional)
Np (0.0000, 0.0000, 0.0000)
Np (0.0000, 0.5000, 0.5000)
Np (0.5000, 0.0000, 0.5000)
Ag (0.0000, 0.5000, 0.0000)
Ag (0.5000, 0.0000, 0.0000)
Ag (0.5000, 0.5000, 0.5000)
Au (0.5000, 0.5000, 0.0000)
S (0.2111, 0.7864, 0.2540)
S (0.2136, 0.7889, 0.7460)
S (0.2580, 0.2580, 0.2755)
S (0.2692, 0.2692, 0.7489)
S (0.7308, 0.7308, 0.2511)
S (0.7420, 0.7420, 0.7245)
S (0.7864, 0.2111, 0.2540)
S (0.7889, 0.2136, 0.7460)

=====

## NpAgSbAu (GGA-PBE)

Data for a relaxed NpAgSbAu crystal.

space group = F-43m
ΔE_f (raw) = -100 meV/atom

Cell: 5.0422 5.0422 5.0422 Å, 60.00 60.00 60.00°
Element x y z (fractional)
Np (0.0000, 0.0000, 0.0000)
Ag (0.5000, 0.5000, 0.5000)
Sb (0.7500, 0.7500, 0.7500)
Au (0.2500, 0.2500, 0.2500)

=====

## NpAgSnAu (GGA-PBE)

Data for a relaxed NpAgSnAu crystal.

space group = F-43m
calculated formation energy = -0.2 eV per formula unit

Cell: 5.0132 5.0132 5.0132 Å, 60.00 60.00 60.00°
Element x y z (fractional)
Np (0.0000, 0.0000, 0.0000)
Ag (0.7500, 0.7500, 0.7500)
Sn (0.5000, 0.5000, 0.5000)
Au (0.2500, 0.2500, 0.2500)

=====

## NpAgTeAu (GGA-PBE)

Data for a relaxed NpAgTeAu crystal.

space group = F-43m
ΔE_f (raw) = -159 meV/atom

Cell: 5.0832 5.0832 5.0832 Å, 60.00 60.00 60.00°
Element x y z (fractional)
Np (0.0000, 0.0000, 0.0000)
Ag (0.5000, 0.5000, 0.5000)
Te (0.2500, 0.2500, 0.2500)
Au (0.7500, 0.7500, 0.7500)

=====

## NpZn2AgAu2 (GGA-PBE)

Data for a relaxed NpZn2AgAu2 crystal.

space group = P-3m1
calculated formation energy = -0.7 eV per formula unit

Cell: 4.5370 4.5370 6.5980 Å, 90.00 90.00 120.00°
Element x y z (fractional)
Np (0.0000, 0.0000, 0.0000)
Zn (0.3333, 0.6667, 0.6871)
Zn (0.6667, 0.3333, 0.3129)
Ag (0.0000, 0.0000, 0.5000)
Au (0.3333, 0.6667, 0.2575)
Au (0.6667, 0.3333, 0.7425)

=====

## AgAuO3 (GGA-PBE)

Data for a relaxed AgAuO3 crystal.

space group = Cmcm
ΔE_f (raw) = 111 meV/atom

Cell: 6.5555 6.5555 7.3205 Å, 90.00 90.00 111.11°
Element x y z (fractional)
Ag (0.0041, 0.9959, 0.7500)
Ag (0.3689, 0.6311, 0.7500)
Ag (0.6311, 0.3689, 0.2500)
Ag (0.9959, 0.0041, 0.2500)
Au (0.0000, 0.5000, 0.0000)
Au (0.0000, 0.5000, 0.5000)
Au (0.5000, 0.0000, 0.0000)
Au (0.5000, 0.0000, 0.5000)
O (0.1605, 0.8395, 0.5085)
O (0.1605, 0.8395, 0.9915)
O (0.1909, 0.4753, 0.2500)
O (0.2665, 0.3072, 0.2500)
O (0.3072, 0.2665, 0.7500)
O (0.4753, 0.1909, 0.7500)
O (0.5247, 0.8091, 0.2500)
O (0.6928, 0.7335, 0.2500)
O (0.7335, 0.6928, 0.7500)
O (0.8091, 0.5247, 0.7500)
O (0.8395, 0.1605, 0.0085)
O (0.8395, 0.1605, 0.4915)

=====

## Ag2AuO (GGA-PBE)

Data for a relaxed Ag2AuO crystal.

space group = R-3m
ΔE_f (raw) = 182 meV/atom

Cell: 8.9312 8.9312 8.9312 Å, 18.98 18.98 18.98°
Element x y z (fractional)
Ag (0.1053, 0.1053, 0.1053)
Ag (0.8947, 0.8947, 0.8947)
Au (0.0000, 0.0000, 0.0000)
O (0.5000, 0.5000, 0.5000)

=====

## AgAuO3 (GGA-PBE)

Data for a relaxed AgAuO3 crystal.

space group = Pm-3m
ΔE_f (raw) = 849 meV/atom

Cell: 4.0087 4.0087 4.0087 Å, 90.00 90.00 90.00°
Element x y z (fractional)
Ag (0.0000, 0.0000, 0.0000)
Au (0.5000, 0.5000, 0.5000)
O (0.0000, 0.0000, 0.5000)
O (0.0000, 0.5000, 0.0000)
O (0.5000, 0.0000, 0.0000)

=====

## AgAuO (GGA-PBE)

Data for a relaxed AgAuO crystal.

space group = P3m1
ΔE_f (raw) = 160 meV/atom

Cell: 3.1751 3.1751 5.1024 Å, 90.00 90.00 120.00°
Element x y z (fractional)
Ag (0.0000, 0.0000, 0.0000)
Au (0.6667, 0.3333, 0.5909)
O (0.3333, 0.6667, 0.2894)

=====

What did we get for spin magnetization? Answer: 4.7, 0.0, 9.4, 9.0, 4.1, 4.1, 4.5, 4.3, 0.0, 0.6, 0.0, 0.0 Bohr magnetons per cell, in the order shown.